Model w:
{
  "formula": "HfMnNb2",
  "functional": "GGA-PBE",
  "state": "relaxed",
  "sg": "P4/mmm",
  "cell": [[-2.911, -0.999, -0.523], [0.732, -2.774, 1.229], [-1.951, 2.326, 6.414]],
  "species": ["Nb", "Nb", "Mn", "Hf"],
  "frac_coords": [[0.000, 0.000, 0.787], [0.000, 0.000, 0.213], [0.500, 0.500, 0.000], [0.500, 0.500, 0.500]]
}

Model x:
{
  "formula": "HfMnNb2",
  "functional": "GGA-PBE",
  "state": "relaxed",
  "sg": "Immm",
  "cell": [[3.073, 0.000, -0.957], [-0.579, 4.087, -1.860], [0.015, -0.021, 5.464]],
  "species": ["Nb", "Nb", "Hf", "Mn"],
  "frac_coords": [[0.768, 0.768, 0.537], [0.232, 0.232, 0.463], [0.000, 0.500, 0.000], [0.500, 0.000, 0.000]]
}

Model y:
{
  "formula": "HfMnNb2",
  "functional": "GGA-PBE",
  "state": "relaxed",
  "sg": "Fm-3m",
  "cell": [[-4.252, -1.378, 0.973], [-3.567, 1.897, -2.145], [-2.377, -2.423, -3.066]],
  "species": ["Hf", "Nb", "Nb", "Mn"],
  "frac_coords": [[0.500, 0.500, 0.500], [0.750, 0.750, 0.750], [0.250, 0.250, 0.250], [0.000, 0.000, 0.000]]
}

Model z:
{
  "formula": "HfMnNb2",
  "functional": "GGA-PBE",
  "state": "relaxed",
  "sg": "I-42d",
  "cell": [[-3.768, -0.620, 0.496], [0.761, -3.508, 1.396], [-0.903, 1.802, 10.335]],
  "species": ["Hf", "Hf", "Nb", "Nb", "Nb", "Nb", "Mn", "Mn"],
  "frac_coords": [[0.750, 0.250, 0.500], [0.000, 0.000, 0.000], [0.621, 0.125, 0.250], [0.875, 0.871, 0.750], [0.375, 0.379, 0.750], [0.129, 0.625, 0.250], [0.250, 0.750, 0.500], [0.500, 0.500, 0.000]]
}

Relative energies in meV per atom: model w 66; model x 0; model y 199; model z 588

Model w:
{
  "formula": "HfMnNb",
  "functional": "GGA-PBE",
  "state": "relaxed",
  "sg": "I4mm",
  "cell": [[3.150, 0.000, 0.000], [0.000, 3.150, 0.000], [-1.575, -1.575, 5.054]],
  "species": ["Nb", "Mn", "Hf"],
  "frac_coords": [[0.315, 0.315, 0.629], [0.675, 0.675, 0.350], [0.011, 0.011, 0.021]]
}

Model x:
{
  "formula": "HfMnNb",
  "functional": "GGA-PBE",
  "state": "relaxed",
  "sg": "Pbcm",
  "cell": [[2.876, 0.000, 0.000], [0.000, 5.348, 0.000], [0.000, 0.000, 13.639]],
  "species": ["Mn", "Mn", "Mn", "Mn", "Hf", "Hf", "Hf", "Hf", "Nb", "Nb", "Nb", "Nb"],
  "frac_coords": [[0.681, 0.000, 0.865], [0.681, 0.500, 0.071], [0.319, 0.500, 0.571], [0.319, 0.000, 0.365], [0.714, 0.000, 0.533], [0.286, 0.500, 0.903], [0.714, 0.500, 0.403], [0.286, 0.000, 0.033], [0.000, 0.250, 0.718], [0.000, 0.250, 0.218], [0.000, 0.750, 0.218], [0.000, 0.750, 0.718]]
}

Relative energies in meV per atom: model w 0; model x 282

Model w:
{
  "formula": "HfMnNi3",
  "functional": "GGA-PBE",
  "state": "relaxed",
  "sg": "Pm-3m",
  "cell": [[4.487, 0.000, 0.000], [0.000, 4.487, 0.000], [0.000, 0.000, 4.487]],
  "species": ["Ni", "Ni", "Ni", "Mn", "Hf"],
  "frac_coords": [[0.000, 0.500, 0.000], [0.000, 0.000, 0.500], [0.500, 0.000, 0.000], [0.500, 0.500, 0.500], [0.000, 0.000, 0.000]]
}

Model x:
{
  "formula": "HfMnNi3",
  "functional": "GGA-PBE",
  "state": "relaxed",
  "sg": "Pm-3m",
  "cell": [[4.265, 0.000, 0.000], [0.000, 4.265, 0.000], [0.000, 0.000, 4.265]],
  "species": ["Hf", "Ni", "Ni", "Ni", "Mn"],
  "frac_coords": [[0.500, 0.500, 0.500], [0.000, 0.500, 0.000], [0.000, 0.000, 0.500], [0.500, 0.000, 0.000], [0.000, 0.000, 0.000]]
}

Relative energies in meV per atom: model w 969; model x 0

Model w:
{
  "formula": "Hf3MnNi",
  "functional": "GGA-PBE",
  "state": "relaxed",
  "sg": "Pm-3m",
  "cell": [[-0.499, 4.076, 2.309], [-0.259, -2.343, 4.079], [4.678, 0.305, 0.472]],
  "species": ["Mn", "Ni", "Hf", "Hf", "Hf"],
  "frac_coords": [[0.500, 0.500, 0.500], [0.000, 0.000, 0.000], [0.000, 0.500, 0.000], [0.500, 0.000, 0.000], [0.000, 0.000, 0.500]]
}

Model x:
{
  "formula": "Hf3MnNi",
  "functional": "GGA-PBE",
  "state": "relaxed",
  "sg": "Pm-3m",
  "cell": [[-1.513, -3.376, 2.920], [-1.969, -2.262, -3.636], [4.006, -2.387, -0.684]],
  "species": ["Hf", "Hf", "Hf", "Ni", "Mn"],
  "frac_coords": [[0.000, 0.000, 0.500], [0.500, 0.000, 0.000], [0.000, 0.500, 0.000], [0.500, 0.500, 0.500], [0.000, 0.000, 0.000]]
}

Relative energies in meV per atom: model w 161; model x 0